Density functional theory data (GGA-PBE) for a relaxed structure of PtPbO2.

Summary:
VASP energy   -20.72 eV/f.u.
Uncorrected formation energy   -0.2629 eV per atom
Spin magnetization   0.000 Bohr magnetons per cell
ρ   10.690 g cm⁻³

```
data_PtPbO2
_chemical_formula_sum 'Pt4 Pb4 O8'
_space_group_name_H-M_alt 'I -4 2 d'
_space_group_IT_number 122
_space_group_name_Hall 'I -4 2bw'
_cell_length_a 4.5630
_cell_length_b 4.5630
_cell_length_c 12.9598
_cell_angle_alpha 90.00
_cell_angle_beta 90.00
_cell_angle_gamma 90.00
loop_
_atom_site_label
_atom_site_fract_x
_atom_site_fract_y
_atom_site_fract_z
Pt1 0.0000 0.0000 0.0000
Pb1 0.0000 0.0000 0.5000
O1 0.1622 0.2500 0.1250
```


Density functional theory data (GGA-PBE) for a relaxed structure of PtPb2O.

Summary:
VASP energy   -19.97 eV/f.u.
Uncorrected formation energy   -0.3884 eV per atom
Spin magnetization   0.000 Bohr magnetons per cell
ρ   12.235 g cm⁻³

```
data_PtPb2O
_chemical_formula_sum 'Pt2 Pb4 O2'
_space_group_name_H-M_alt 'C 1 2 1'
_space_group_IT_number 5
_space_group_name_Hall 'C 2y'
_cell_length_a 4.6409
_cell_length_b 5.4041
_cell_length_c 7.1548
_cell_angle_alpha 90.00
_cell_angle_beta 108.88
_cell_angle_gamma 90.00
loop_
_atom_site_label
_atom_site_fract_x
_atom_site_fract_y
_atom_site_fract_z
Pt1 0.0000 0.0000 0.0000
Pb1 0.1285 0.4977 0.2567
O1 0.0000 0.7483 0.5000
```


Density functional theory data (GGA-PBE) for a relaxed structure of Pt3PbO.

Summary:
VASP energy   -24.94 eV/f.u.
Energy above the most stable polymorph in this dataset   0.000 eV per atom
Uncorrected formation energy   0.3695 eV per atom
Spin magnetization   0.000 Bohr magnetons per cell
ρ   15.491 g cm⁻³

```
data_Pt3PbO
_chemical_formula_sum 'Pt3 Pb1 O1'
_space_group_name_H-M_alt 'P m -3 m'
_space_group_IT_number 221
_space_group_name_Hall '-P 4 2 3'
_cell_length_a 4.4253
_cell_length_b 4.4253
_cell_length_c 4.4253
_cell_angle_alpha 90.00
_cell_angle_beta 90.00
_cell_angle_gamma 90.00
loop_
_atom_site_label
_atom_site_fract_x
_atom_site_fract_y
_atom_site_fract_z
Pt1 0.0000 0.0000 0.5000
Pb1 0.5000 0.5000 0.5000
O1 0.0000 0.0000 0.0000
```


Question: Which value of ρ does entry 1 give?
Answer: 10.690 g cm⁻³


What did the second record say?
Density functional theory data (GGA-PBE) for a relaxed structure of PtPb2O.

Summary:
VASP energy   -19.97 eV/f.u.
Uncorrected formation energy   -0.3884 eV per atom
Spin magnetization   0.000 Bohr magnetons per cell
ρ   12.235 g cm⁻³

```
data_PtPb2O
_chemical_formula_sum 'Pt2 Pb4 O2'
_space_group_name_H-M_alt 'C 1 2 1'
_space_group_IT_number 5
_space_group_name_Hall 'C 2y'
_cell_length_a 4.6409
_cell_length_b 5.4041
_cell_length_c 7.1548
_cell_angle_alpha 90.00
_cell_angle_beta 108.88
_cell_angle_gamma 90.00
loop_
_atom_site_label
_atom_site_fract_x
_atom_site_fract_y
_atom_site_fract_z
Pt1 0.0000 0.0000 0.0000
Pb1 0.1285 0.4977 0.2567
O1 0.0000 0.7483 0.5000
```